# Ga2RhPb2 (PBE, relaxed)
data_Ga2RhPb2
_chemical_formula_sum 'Ga4 Rh2 Pb4'
_cell_length_a 6.621
_cell_length_b 6.621
_cell_length_c 5.115
_cell_angle_alpha 90.00
_cell_angle_beta 90.00
_cell_angle_gamma 90.00
_symmetry_space_group_name_H-M 'P 4/m b m'
_symmetry_Int_Tables_number 127
_symmetry_space_group_name_Hall '-P 4 2ab'
loop_
_atom_site_label
_atom_site_fract_x
_atom_site_fract_y
_atom_site_fract_z
Ga1 0.146 0.354 0.000
Rh1 0.000 0.000 0.000
Pb1 0.182 0.682 0.500
# Formation enthalpy at 0 K: -0.03 eV per atom



# GaRu2RhPb (PBE, relaxed)
data_GaRu2RhPb
_chemical_formula_sum 'Ga1 Ru2 Rh1 Pb1'
_cell_length_a 4.773
_cell_length_b 4.773
_cell_length_c 4.666
_cell_angle_alpha 90.00
_cell_angle_beta 90.00
_cell_angle_gamma 90.00
_symmetry_space_group_name_H-M 'P 4/m m m'
_symmetry_Int_Tables_number 123
_symmetry_space_group_name_Hall '-P 4 2'
loop_
_atom_site_label
_atom_site_fract_x
_atom_site_fract_y
_atom_site_fract_z
Ga1 0.000 0.000 0.000
Ru1 0.000 0.500 0.500
Rh1 0.000 0.000 0.500
Pb1 0.500 0.500 0.000
# E above lowest polymorph: 0.000 eV/atom
# Formation enthalpy at 0 K: 1.01 eV per atom